i) An optimized crystal structure of GaSbI2. Source: the Alexandria database, functional PBE.

Total magnetization: 0.0 μB per cell
DOS at the Fermi energy: 4.3 states/eV/cell

a b c (Å): 5.5971 5.5971 5.5971
angles (deg): 60.00 60.00 60.00
With the nearest neighbours (Å) after each atom.
Fractional coordinates of all 4 atoms:
1 Ga 0.0000 0.0000 0.0000  8 I 3.43
2 Sb 0.5000 0.5000 0.5000  8 I 3.43
3 I 0.2500 0.2500 0.2500  4 Sb 3.43, 4 Ga 3.43
4 I 0.7500 0.7500 0.7500  4 Ga 3.43, 4 Sb 3.43

***

ii) An optimized crystal structure of GaSbI2. Source: the Alexandria database, functional PBE.

Total magnetization: 0.0 μB per cell
DOS at the Fermi energy: 0.1 states/eV/cell

a b c (Å): 10.6216 10.6216 10.6216
angles (deg): 148.46 148.46 45.21
With the nearest neighbours (Å) after each atom.
Fractional coordinates of all 8 atoms:
1 Ga 0.0000 0.0000 0.0000  4 I 3.24
2 Ga 0.7500 0.2500 0.5000  4 I 3.24
3 Sb 0.2500 0.7500 0.5000  4 I 3.14
4 Sb 0.5000 0.5000 0.0000  4 I 3.14
5 I 0.1451 0.6250 0.0201  2 Sb 3.14, 2 Ga 3.24
6 I 0.3750 0.3951 0.5201  2 Sb 3.14, 2 Ga 3.24
7 I 0.6049 0.1250 0.9799  2 Sb 3.14, 2 Ga 3.24
8 I 0.8750 0.8549 0.4799  2 Sb 3.14, 2 Ga 3.24

***

How do the structures above rank in stability at the extremes? ii) comes first and i) comes last.